(1)
DFT (PBE-GGA) results for an optimized crystal structure of Nd8Sm2Y3.

a = 11.0498 Å, b = 11.0498 Å, c = 5.7541 Å
α = 90.01°, β = 90.01°, γ = 41.02°
Fractional positions:
Nd: 0.0996 0.6900 0.0000
Nd: 0.1718 0.1718 0.5004
Nd: 0.3100 0.9004 0.0000
Nd: 0.3681 0.3681 0.5004
Nd: 0.6319 0.6319 0.4996
Nd: 0.6900 0.0996 0.0000
Nd: 0.8282 0.8282 0.4996
Nd: 0.9004 0.3100 0.0000
Sm: 0.2596 0.2596 0.0007
Sm: 0.7404 0.7404 0.9993
Y: 0.2156 0.7844 0.5000
Y: 0.5000 0.5000 0.0000
Y: 0.7844 0.2156 0.5000

Values from the calculation:
- Energy relative to the elements: 200 meV/atom
- N(E_F): 1.478 states/eV/atom
- Final energy: -4.9516 eV per atom
- Energy above the lowest structure with this stoichiometry: 0.0991 eV/atom

***

(2)
DFT (PBE-GGA) results for an optimized crystal structure of Nd5Sm2Y12.

a = 6.8519 Å, b = 6.8720 Å, c = 15.2292 Å
α = 87.95°, β = 80.43°, γ = 64.95°
Fractional positions:
Nd: 0.0000 0.0000 0.0000
Nd: 0.2339 0.9993 0.5347
Nd: 0.4237 0.9456 0.1164
Nd: 0.5763 0.0544 0.8836
Nd: 0.7661 0.0007 0.4653
Sm: 0.2628 0.4919 0.4686
Sm: 0.7372 0.5081 0.5314
Y: 0.0815 0.2410 0.3161
Y: 0.0843 0.7420 0.2569
Y: 0.1199 0.5174 0.8846
Y: 0.3845 0.7811 0.7426
Y: 0.3901 0.4314 0.0792
Y: 0.4372 0.2668 0.6743
Y: 0.5628 0.7332 0.3257
Y: 0.6099 0.5686 0.9208
Y: 0.6155 0.2189 0.2574
Y: 0.8801 0.4826 0.1154
Y: 0.9157 0.2580 0.7431
Y: 0.9185 0.7590 0.6839

Values from the calculation:
- Energy relative to the elements: 90 meV/atom
- N(E_F): 1.726 states/eV/atom
- Final energy: -5.7439 eV per atom
- Energy above the lowest structure with this stoichiometry: 0.0000 eV/atom

***

(3)
DFT (PBE-GGA) results for an optimized crystal structure of Nd4Sm5Y2.

a = 12.3109 Å, b = 12.3109 Å, c = 8.8083 Å
α = 94.40°, β = 94.40°, γ = 16.71°
Fractional positions:
Nd: 0.0408 0.0408 0.3453
Nd: 0.2743 0.2743 0.1736
Nd: 0.7257 0.7257 0.8264
Nd: 0.9592 0.9592 0.6547
Sm: 0.1304 0.1304 0.0473
Sm: 0.1848 0.1848 0.4745
Sm: 0.5000 0.5000 0.0000
Sm: 0.8152 0.8152 0.5255
Sm: 0.8696 0.8696 0.9527
Y: 0.4125 0.4125 0.3025
Y: 0.5875 0.5875 0.6975

Values from the calculation:
- Energy relative to the elements: 98 meV/atom
- N(E_F): 1.571 states/eV/atom
- Final energy: -4.9565 eV per atom
- Energy above the lowest structure with this stoichiometry: 0.0000 eV/atom

***

(4)
DFT (PBE-GGA) results for an optimized crystal structure of Nd4Sm3Y5.

a = 8.6707 Å, b = 8.6707 Å, c = 9.4279 Å
α = 114.58°, β = 114.58°, γ = 40.50°
Fractional positions:
Nd: 0.0844 0.0844 0.4467
Nd: 0.2138 0.2138 0.8835
Nd: 0.7862 0.7862 0.1165
Nd: 0.9156 0.9156 0.5533
Sm: 0.2108 0.2108 0.2344
Sm: 0.5000 0.5000 0.0000
Sm: 0.7892 0.7892 0.7656
Y: 0.0000 0.0000 0.0000
Y: 0.3289 0.3289 0.6145
Y: 0.4281 0.4281 0.2991
Y: 0.5719 0.5719 0.7009
Y: 0.6711 0.6711 0.3855

Values from the calculation:
- Energy relative to the elements: 214 meV/atom
- N(E_F): 1.614 states/eV/atom
- Final energy: -5.2482 eV per atom
- Energy above the lowest structure with this stoichiometry: 0.1993 eV/atom

***

(5)
DFT (PBE-GGA) results for an optimized crystal structure of Nd4Sm6Y.

a = 9.8276 Å, b = 9.8276 Å, c = 9.8276 Å
α = 139.89°, β = 139.89°, γ = 58.01°
Fractional positions:
Nd: 0.0123 0.6335 0.0000
Nd: 0.3665 0.3665 0.3788
Nd: 0.6335 0.0123 0.0000
Nd: 0.9877 0.9877 0.6212
Sm: 0.0000 0.5000 0.5000
Sm: 0.1995 0.1995 0.6480
Sm: 0.4486 0.8005 0.0000
Sm: 0.5000 0.0000 0.5000
Sm: 0.5514 0.5514 0.3520
Sm: 0.8005 0.4486 0.0000
Y: 0.0000 0.0000 0.0000

Values from the calculation:
- Energy relative to the elements: 285 meV/atom
- N(E_F): 1.515 states/eV/atom
- Final energy: -4.6101 eV per atom
- Energy above the lowest structure with this stoichiometry: 0.0000 eV/atom

***

(6)
DFT (PBE-GGA) results for an optimized crystal structure of Nd4SmY5.

a = 3.6335 Å, b = 3.6335 Å, c = 25.3977 Å
α = 90.00°, β = 90.00°, γ = 90.00°
Fractional positions:
Nd: 0.0000 0.0000 0.1004
Nd: 0.0000 0.0000 0.3009
Nd: 0.0000 0.0000 0.6991
Nd: 0.0000 0.0000 0.8996
Sm: 0.0000 0.0000 0.5000
Y: 0.5000 0.5000 0.0000
Y: 0.5000 0.5000 0.2007
Y: 0.5000 0.5000 0.4012
Y: 0.5000 0.5000 0.5988
Y: 0.5000 0.5000 0.7993

Values from the calculation:
- Energy relative to the elements: 15 meV/atom
- N(E_F): 1.435 states/eV/atom
- Final energy: -5.5963 eV per atom
- Energy above the lowest structure with this stoichiometry: 0.0000 eV/atom

***

(7)
DFT (PBE-GGA) results for an optimized crystal structure of Nd6Sm2Y.

a = 10.1609 Å, b = 10.1609 Å, c = 3.6780 Å
α = 90.00°, β = 90.00°, γ = 124.12°
Fractional positions:
Nd: 0.0116 0.3399 0.0000
Nd: 0.1829 0.1829 0.5000
Nd: 0.3399 0.0116 0.0000
Nd: 0.6601 0.9884 0.0000
Nd: 0.8171 0.8171 0.5000
Nd: 0.9884 0.6601 0.0000
Sm: 0.3223 0.6777 0.5000
Sm: 0.6777 0.3223 0.5000
Y: 0.5000 0.5000 0.0000

Values from the calculation:
- Energy relative to the elements: 128 meV/atom
- N(E_F): 1.469 states/eV/atom
- Final energy: -4.8176 eV per atom
- Energy above the lowest structure with this stoichiometry: 0.0481 eV/atom

***

(8)
DFT (PBE-GGA) results for an optimized crystal structure of Nd2Sm2Y15.

a = 8.8206 Å, b = 8.8206 Å, c = 8.8206 Å
α = 79.74°, β = 79.74°, γ = 79.74°
Fractional positions:
Nd: 0.1741 0.1741 0.1741
Nd: 0.8259 0.8259 0.8259
Sm: 0.4040 0.4040 0.4040
Sm: 0.5960 0.5960 0.5960
Y: 0.0000 0.5000 0.5000
Y: 0.1309 0.1309 0.6498
Y: 0.1309 0.6498 0.1309
Y: 0.1998 0.5000 0.8002
Y: 0.1998 0.8002 0.5000
Y: 0.3502 0.8691 0.8691
Y: 0.5000 0.0000 0.5000
Y: 0.5000 0.1998 0.8002
Y: 0.5000 0.5000 0.0000
Y: 0.5000 0.8002 0.1998
Y: 0.6498 0.1309 0.1309
Y: 0.8002 0.1998 0.5000
Y: 0.8002 0.5000 0.1998
Y: 0.8691 0.3502 0.8691
Y: 0.8691 0.8691 0.3502

Values from the calculation:
- Energy relative to the elements: 287 meV/atom
- N(E_F): 2.092 states/eV/atom
- Final energy: -5.8148 eV per atom

***

(9)
DFT (PBE-GGA) results for an optimized crystal structure of Nd2SmY.

a = 3.6564 Å, b = 3.6564 Å, c = 35.4347 Å
α = 90.00°, β = 90.00°, γ = 120.00°
Fractional positions:
Nd: 0.0000 0.0000 0.0000
Nd: 0.0000 0.0000 0.1675
Nd: 0.3333 0.6667 0.6667
Nd: 0.3333 0.6667 0.8342
Nd: 0.6667 0.3333 0.3333
Nd: 0.6667 0.3333 0.5009
Sm: 0.0000 0.0000 0.7506
Sm: 0.3333 0.6667 0.4173
Sm: 0.6667 0.3333 0.0840
Y: 0.0000 0.0000 0.5834
Y: 0.3333 0.6667 0.2500
Y: 0.6667 0.3333 0.9167

Values from the calculation:
- Energy relative to the elements: 14 meV/atom
- N(E_F): 1.468 states/eV/atom
- Final energy: -5.1657 eV per atom
- Energy above the lowest structure with this stoichiometry: 0.0037 eV/atom

***

(10)
DFT (PBE-GGA) results for an optimized crystal structure of Nd6SmY.

a = 5.1795 Å, b = 5.1795 Å, c = 10.3458 Å
α = 90.00°, β = 90.00°, γ = 90.00°
Fractional positions:
Nd: 0.0000 0.0000 0.0000
Nd: 0.0000 0.0000 0.5000
Nd: 0.0000 0.5000 0.2505
Nd: 0.0000 0.5000 0.7495
Nd: 0.5000 0.0000 0.2505
Nd: 0.5000 0.0000 0.7495
Sm: 0.5000 0.5000 0.0000
Y: 0.5000 0.5000 0.5000

Values from the calculation:
- Energy relative to the elements: 14 meV/atom
- N(E_F): 1.695 states/eV/atom
- Final energy: -4.9597 eV per atom

***

(11)
DFT (PBE-GGA) results for an optimized crystal structure of NdSmY.

a = 6.3164 Å, b = 3.6559 Å, c = 9.0625 Å
α = 90.00°, β = 103.68°, γ = 90.00°
Fractional positions:
Nd: 0.0000 0.0000 0.0000
Nd: 0.5000 0.5000 0.0000
Sm: 0.4425 0.0000 0.3385
Sm: 0.9425 0.5000 0.3385
Y: 0.2202 0.0000 0.6663
Y: 0.7202 0.5000 0.6663

Values from the calculation:
- Energy relative to the elements: 19 meV/atom
- N(E_F): 1.340 states/eV/atom
- Final energy: -5.2983 eV per atom
- Energy above the lowest structure with this stoichiometry: 0.0036 eV/atom

***

(12)
DFT (PBE-GGA) results for an optimized crystal structure of NdSm2Y2.

a = 9.4599 Å, b = 9.4599 Å, c = 9.4599 Å
α = 144.03°, β = 136.00°, γ = 58.08°
Fractional positions:
Nd: 0.3687 0.1187 0.2500
Nd: 0.6313 0.8813 0.7500
Sm: 0.1863 0.6907 0.4956
Sm: 0.3049 0.3093 0.9956
Sm: 0.6951 0.6907 0.0044
Sm: 0.8137 0.3093 0.5044
Y: 0.1372 0.8872 0.2500
Y: 0.2530 0.5030 0.7500
Y: 0.7470 0.4970 0.2500
Y: 0.8628 0.1128 0.7500

Values from the calculation:
- Energy relative to the elements: 125 meV/atom
- N(E_F): 1.687 states/eV/atom
- Final energy: -5.3019 eV per atom
- Energy above the lowest structure with this stoichiometry: 0.0716 eV/atom

***

(13)
DFT (PBE-GGA) results for an optimized crystal structure of NdSm2Y3.

a = 6.7154 Å, b = 6.7154 Å, c = 9.0376 Å
α = 97.75°, β = 97.75°, γ = 95.25°
Fractional positions:
Nd: 0.0865 0.9135 0.7500
Nd: 0.9135 0.0865 0.2500
Sm: 0.1284 0.6242 0.3743
Sm: 0.3758 0.8716 0.1257
Sm: 0.6242 0.1284 0.8743
Sm: 0.8716 0.3758 0.6257
Y: 0.1642 0.3303 0.9981
Y: 0.3303 0.1642 0.4981
Y: 0.4186 0.5814 0.7500
Y: 0.5814 0.4186 0.2500
Y: 0.6697 0.8358 0.5019
Y: 0.8358 0.6697 0.0019

Values from the calculation:
- Energy relative to the elements: 64 meV/atom
- N(E_F): 1.578 states/eV/atom
- Final energy: -5.5356 eV per atom
- Energy above the lowest structure with this stoichiometry: 0.0000 eV/atom

***

(14)
DFT (PBE-GGA) results for an optimized crystal structure of Nd5Sm3Y4.

a = 6.2907 Å, b = 7.2600 Å, c = 8.8941 Å
α = 89.94°, β = 89.97°, γ = 89.99°
Fractional positions:
Nd: 0.0000 0.0000 0.0000
Nd: 0.3324 0.5005 0.6652
Nd: 0.4998 0.2490 0.0005
Nd: 0.5002 0.7510 0.9995
Nd: 0.6676 0.4995 0.3348
Sm: 0.0000 0.5000 0.0000
Sm: 0.1666 0.2495 0.3345
Sm: 0.8334 0.7505 0.6655
Y: 0.1668 0.7519 0.3348
Y: 0.3335 0.0000 0.6648
Y: 0.6665 0.0000 0.3352
Y: 0.8332 0.2481 0.6652

Values from the calculation:
- Energy relative to the elements: 12 meV/atom
- N(E_F): 1.331 states/eV/atom
- Final energy: -5.3088 eV per atom
- Energy above the lowest structure with this stoichiometry: 0.0000 eV/atom

***

(15)
DFT (PBE-GGA) results for an optimized crystal structure of Nd6Sm3Y.

a = 11.1427 Å, b = 11.1427 Å, c = 6.5285 Å
α = 90.00°, β = 90.00°, γ = 120.92°
Fractional positions:
Nd: 0.0321 0.9679 0.5000
Nd: 0.0596 0.4790 0.0029
Nd: 0.2791 0.7209 0.2928
Nd: 0.2866 0.3712 0.1955
Nd: 0.3712 0.2866 0.6955
Nd: 0.4790 0.0596 0.5029
Nd: 0.5210 0.9404 0.0029
Nd: 0.6288 0.7134 0.1955
Nd: 0.7134 0.6288 0.6955
Nd: 0.7209 0.2791 0.7928
Nd: 0.9404 0.5210 0.5029
Nd: 0.9679 0.0321 0.0000
Sm: 0.0569 0.2901 0.6068
Sm: 0.2901 0.0569 0.1068
Sm: 0.3848 0.6152 0.7235
Sm: 0.6152 0.3848 0.2235
Sm: 0.7099 0.9431 0.6068
Sm: 0.9431 0.7099 0.1068
Y: 0.1891 0.8109 0.7477
Y: 0.8109 0.1891 0.2477

Values from the calculation:
- Energy relative to the elements: 137 meV/atom
- N(E_F): 1.350 states/eV/atom
- Final energy: -4.7854 eV per atom
- Energy above the lowest structure with this stoichiometry: 0.0000 eV/atom

***

(16)
DFT (PBE-GGA) results for an optimized crystal structure of NdSm8Y2.

a = 9.5808 Å, b = 9.5808 Å, c = 8.1064 Å
α = 104.69°, β = 104.69°, γ = 31.02°
Fractional positions:
Nd: 0.0000 0.0000 0.0000
Sm: 0.0912 0.0912 0.4555
Sm: 0.1820 0.1820 0.9093
Sm: 0.3630 0.3630 0.8168
Sm: 0.4543 0.4543 0.2734
Sm: 0.5457 0.5457 0.7266
Sm: 0.6370 0.6370 0.1832
Sm: 0.8180 0.8180 0.0907
Sm: 0.9088 0.9088 0.5445
Y: 0.2727 0.2727 0.3640
Y: 0.7273 0.7273 0.6360

Values from the calculation:
- Energy relative to the elements: 16 meV/atom
- N(E_F): 1.493 states/eV/atom
- Final energy: -5.0252 eV per atom
- Energy above the lowest structure with this stoichiometry: 0.0000 eV/atom

***

(17)
DFT (PBE-GGA) results for an optimized crystal structure of Nd4Sm3Y8.

a = 12.5888 Å, b = 12.5888 Å, c = 12.5888 Å
α = 32.49°, β = 32.49°, γ = 32.49°
Fractional positions:
Nd: 0.0000 0.0000 0.0000
Nd: 0.1639 0.1639 0.1639
Nd: 0.5000 0.5000 0.5000
Nd: 0.8361 0.8361 0.8361
Sm: 0.0000 0.5000 0.5000
Sm: 0.5000 0.0000 0.5000
Sm: 0.5000 0.5000 0.0000
Y: 0.2503 0.2503 0.7490
Y: 0.2503 0.7490 0.2503
Y: 0.2510 0.7497 0.7497
Y: 0.2545 0.2545 0.2545
Y: 0.7455 0.7455 0.7455
Y: 0.7490 0.2503 0.2503
Y: 0.7497 0.2510 0.7497
Y: 0.7497 0.7497 0.2510

Values from the calculation:
- Energy relative to the elements: 127 meV/atom
- N(E_F): 1.583 states/eV/atom
- Final energy: -5.5360 eV per atom
- Energy above the lowest structure with this stoichiometry: 0.0000 eV/atom

***

(18)
DFT (PBE-GGA) results for an optimized crystal structure of Nd12SmY2.

a = 6.8697 Å, b = 6.8697 Å, c = 25.0666 Å
α = 90.00°, β = 90.00°, γ = 116.41°
Fractional positions:
Nd: 0.0020 0.5020 0.1307
Nd: 0.0026 0.9974 0.9257
Nd: 0.0195 0.5195 0.5850
Nd: 0.0239 0.9761 0.4397
Nd: 0.2500 0.2500 0.1988
Nd: 0.2500 0.2500 0.3247
Nd: 0.2500 0.2500 0.6753
Nd: 0.2500 0.2500 0.8012
Nd: 0.4761 0.5239 0.4397
Nd: 0.4805 0.9805 0.5850
Nd: 0.4974 0.5026 0.9257
Nd: 0.4980 0.9980 0.1307
Nd: 0.5020 0.0020 0.8693
Nd: 0.5026 0.4974 0.0743
Nd: 0.5195 0.0195 0.4150
Nd: 0.5239 0.4761 0.5603
Nd: 0.7500 0.7500 0.1988
Nd: 0.7500 0.7500 0.3247
Nd: 0.7500 0.7500 0.6753
Nd: 0.7500 0.7500 0.8012
Nd: 0.9761 0.0239 0.5603
Nd: 0.9805 0.4805 0.4150
Nd: 0.9974 0.0026 0.0743
Nd: 0.9980 0.4980 0.8693
Sm: 0.2500 0.7500 0.0012
Sm: 0.7500 0.2500 0.9988
Y: 0.2500 0.7500 0.2712
Y: 0.2500 0.7500 0.7330
Y: 0.7500 0.2500 0.2670
Y: 0.7500 0.2500 0.7288

Values from the calculation:
- Energy relative to the elements: 148 meV/atom
- N(E_F): 1.460 states/eV/atom
- Final energy: -4.8428 eV per atom

***

(19)
DFT (PBE-GGA) results for an optimized crystal structure of Nd5SmY.

a = 12.2391 Å, b = 12.2391 Å, c = 6.6733 Å
α = 97.95°, β = 97.95°, γ = 145.50°
Fractional positions:
Nd: 0.0130 0.4566 0.7398
Nd: 0.1244 0.8756 0.7500
Nd: 0.2166 0.2699 0.9845
Nd: 0.2699 0.2166 0.4845
Nd: 0.4566 0.0130 0.2398
Nd: 0.5434 0.9870 0.7602
Nd: 0.7301 0.7834 0.5155
Nd: 0.7834 0.7301 0.0155
Nd: 0.8756 0.1244 0.2500
Nd: 0.9870 0.5434 0.2602
Sm: 0.4014 0.5986 0.7500
Sm: 0.5986 0.4014 0.2500
Y: 0.3483 0.6517 0.2500
Y: 0.6517 0.3483 0.7500

Values from the calculation:
- Energy relative to the elements: 165 meV/atom
- N(E_F): 1.531 states/eV/atom
- Final energy: -4.8381 eV per atom

***

(20)
DFT (PBE-GGA) results for an optimized crystal structure of Nd4Sm3Y8.

a = 9.3793 Å, b = 9.3793 Å, c = 6.8198 Å
α = 111.28°, β = 111.28°, γ = 87.20°
Fractional positions:
Nd: 0.0000 0.0000 0.0000
Nd: 0.0000 0.0000 0.5000
Nd: 0.0000 0.5000 0.0000
Nd: 0.5000 0.0000 0.0000
Sm: 0.0000 0.5000 0.5000
Sm: 0.5000 0.0000 0.5000
Sm: 0.5000 0.5000 0.0000
Y: 0.2551 0.7449 0.0000
Y: 0.2666 0.2666 0.5095
Y: 0.2681 0.2681 0.0308
Y: 0.3588 0.6412 0.5000
Y: 0.6412 0.3588 0.5000
Y: 0.7319 0.7319 0.9692
Y: 0.7334 0.7334 0.4905
Y: 0.7449 0.2551 0.0000

Values from the calculation:
- Energy relative to the elements: 360 meV/atom
- N(E_F): 2.105 states/eV/atom
- Final energy: -5.3031 eV per atom
- Energy above the lowest structure with this stoichiometry: 0.2329 eV/atom